(1)
First-principles (PBE-GGA) data for La4TbIn2 after structural relaxation, as listed in Alexandria via LeMat-Bulk.

abc: 12.5222 5.7206 8.6830
angles: 131.13 90.00 90.00
Element x y z (fractional)
In: 0.0686 0.8165 0.3149
In: 0.9314 0.1835 0.6851
In: 0.5685 0.6834 0.6851
In: 0.4315 0.3166 0.3149
Tb: 0.0000 0.0000 0.0000
Tb: 0.5000 0.5000 0.0000
La: 0.8272 0.6349 0.1356
La: 0.8534 0.5153 0.5166
La: 0.6465 0.0153 0.5167
La: 0.6728 0.1348 0.1356
La: 0.3272 0.8652 0.8644
La: 0.3535 0.9847 0.4834
La: 0.1466 0.4847 0.4834
La: 0.1728 0.3651 0.8644

Summary:
ρ	6.69	g/cm3
total energy	-4.46	eV per atom
formation energy	-202	meV per atom



(2)
First-principles (PBE-GGA) data for La4Tb4In after structural relaxation, as listed in Alexandria via LeMat-Bulk.

abc: 5.0182 8.0924 8.0924
angles: 84.48 71.94 71.94
Element x y z (fractional)
La: 0.6616 0.6770 0.9999
La: 0.3384 0.3230 0.0001
La: 0.6614 0.0001 0.6770
La: 0.3386 0.9999 0.3230
Tb: 0.6637 0.3365 0.3362
Tb: 0.3363 0.6635 0.6638
Tb: 0.9999 0.6638 0.3365
Tb: 0.0001 0.3362 0.6635
In: 0.0000 0.0000 0.0000

Summary:
ρ	7.30	g/cm3
total energy	-4.62	eV per atom
formation energy	-71	meV per atom



(3)
First-principles (PBE-GGA) data for La4TbIn after structural relaxation, as listed in Alexandria via LeMat-Bulk.

abc: 5.5006 5.5013 7.7412
angles: 89.88 89.92 90.00
Element x y z (fractional)
La: 0.5013 0.9967 0.2426
La: 0.5013 0.9979 0.7536
La: 0.0017 0.4973 0.7536
La: 0.0009 0.4972 0.2428
Tb: 0.0013 0.9973 0.4981
In: 0.5013 0.4973 0.9981

Summary:
ρ	5.88	g/cm3
total energy	-4.27	eV per atom
formation energy	240	meV per atom



(4)
First-principles (PBE-GGA) data for LaTb5In6 after structural relaxation, as listed in Alexandria via LeMat-Bulk.

abc: 5.3923 7.5606 9.3335
angles: 113.89 106.79 90.00
Element x y z (fractional)
In: 0.8293 0.5718 0.6587
In: 0.8294 0.0869 0.6587
In: 0.5000 0.7349 0.0000
In: 0.5000 0.2651 0.0000
In: 0.1706 0.9131 0.3413
In: 0.1707 0.4282 0.3413
Tb: 0.6616 0.1616 0.3232
Tb: 0.3314 0.3314 0.6628
Tb: 0.0000 0.5000 0.0000
Tb: 0.6686 0.6686 0.3372
Tb: 0.3384 0.8384 0.6768
La: 0.0000 0.0000 0.0000

Summary:
ρ	8.16	g/cm3
total energy	-4.19	eV per atom
formation energy	-480	meV per atom



(5)
First-principles (PBE-GGA) data for LaTb5In2 after structural relaxation, as listed in Alexandria via LeMat-Bulk.

abc: 3.6305 8.5184 8.5184
angles: 76.81 77.70 77.70
Element x y z (fractional)
La: 0.0000 0.0000 0.0000
Tb: 0.0000 0.5000 0.5000
Tb: 0.6361 0.5886 0.1392
Tb: 0.3639 0.4114 0.8608
Tb: 0.3639 0.8608 0.4114
Tb: 0.6361 0.1392 0.5886
In: 0.7410 0.7590 0.7590
In: 0.2590 0.2410 0.2410

Summary:
ρ	7.83	g/cm3
total energy	-4.38	eV per atom
formation energy	-186	meV per atom



(6)
First-principles (PBE-GGA) data for La4TbIn after structural relaxation, as listed in Alexandria via LeMat-Bulk.

abc: 6.3036 7.1631 9.0585
angles: 90.00 104.39 90.00
Element x y z (fractional)
La: 0.2215 0.0005 0.6544
La: 0.7785 0.9995 0.3456
La: 0.7785 0.5005 0.3456
La: 0.2215 0.4995 0.6544
La: 0.0000 0.5000 0.0000
La: 0.0000 0.0000 0.0000
La: 0.5113 0.2500 0.9937
La: 0.4887 0.7500 0.0063
Tb: 0.6994 0.7500 0.6688
Tb: 0.3006 0.2500 0.3312
In: 0.7178 0.2500 0.6594
In: 0.2822 0.7500 0.3406

Summary:
ρ	6.95	g/cm3
total energy	-4.67	eV per atom
formation energy	-161	meV per atom



(7)
First-principles (PBE-GGA) data for LaTb2In2 after structural relaxation, as listed in Alexandria via LeMat-Bulk.

abc: 3.8231 5.4958 14.2597
angles: 90.00 97.70 90.00
Element x y z (fractional)
La: 0.8534 0.7500 0.7067
La: 0.1466 0.2500 0.2933
Tb: 0.0496 0.7500 0.0992
Tb: 0.9504 0.2500 0.9008
Tb: 0.2360 0.7500 0.4720
Tb: 0.7640 0.2500 0.5280
In: 0.6438 0.7500 0.2877
In: 0.3562 0.2500 0.7123
In: 0.4547 0.7500 0.9093
In: 0.5453 0.2500 0.0907

Summary:
ρ	7.68	g/cm3
total energy	-4.31	eV per atom
formation energy	-377	meV per atom



(8)
First-principles (PBE-GGA) data for La4TbIn3 after structural relaxation, as listed in Alexandria via LeMat-Bulk.

abc: 6.0506 7.1382 11.4684
angles: 90.00 90.00 90.00
Element x y z (fractional)
In: 0.0000 0.0000 0.0000
In: 0.0000 0.0000 0.5000
In: 0.6454 0.0000 0.7500
In: 0.3546 0.0000 0.2500
In: 0.6556 0.5000 0.7500
In: 0.3444 0.5000 0.2500
Tb: 0.0000 0.5000 0.0000
Tb: 0.0000 0.5000 0.5000
La: 0.5000 0.7571 0.0000
La: 0.5000 0.7571 0.5000
La: 0.5000 0.2429 0.0000
La: 0.5000 0.2429 0.5000
La: 0.1360 0.7636 0.7500
La: 0.8640 0.7636 0.2500
La: 0.8640 0.2364 0.2500
La: 0.1360 0.2364 0.7500

Summary:
ρ	7.10	g/cm3
total energy	-4.41	eV per atom
formation energy	-339	meV per atom



The lowest total energy belongs to which entry? number 6